Record 1
This record from Alexandria describes Sr3CdHg after structural relaxation. The functional is PBE-GGA.

V, A^3/atom: 48.526
DFT total energy, eV for the cell shown: -6.6
Total moment, μB per formula unit: 0.00
Crystal system: cubic
E above lowest polymorph, meV per atom: 280
E_form, kJ/mol of formula units: -37

abc: 6.2371 6.2371 6.2371
angles: 90.00 90.00 90.00
Closest atoms and distances in Å follow each position.
Element x y z (fractional)
1 Hg 0.0000 0.0000 0.0000  6 Sr 3.12
2 Cd 0.5000 0.5000 0.5000  12 Sr 4.41
3 Sr 0.5000 0.0000 0.0000  2 Hg 3.12
4 Sr 0.0000 0.0000 0.5000  2 Hg 3.12
5 Sr 0.0000 0.5000 0.0000  2 Hg 3.12

Record 2
This record from Alexandria describes Y2MnRu after structural relaxation. The functional is PBE-GGA.

V, A^3/atom: 21.003
DFT total energy, eV for the cell shown: -30.8
Total moment, μB per formula unit: 3.36
Crystal system: tetragonal
E_form, kJ/mol of formula units: 53

abc: 5.7648 5.7648 5.7648
angles: 138.26 138.26 60.51
Closest atoms and distances in Å follow each position.
Element x y z (fractional)
1 Ru 0.7500 0.2500 0.5000  8 Y 2.90-3.23, 4 Mn 3.23
2 Y 0.0000 0.0000 0.0000  4 Mn 2.90, 4 Ru 3.23, 4 Y 3.23
3 Y 0.2500 0.7500 0.5000  4 Ru 2.90, 4 Mn 3.23, 4 Y 3.23
4 Mn 0.5000 0.5000 0.0000  8 Y 2.90-3.23, 4 Ru 3.23

Record 3
This record from Alexandria describes Pr3Nd8 after structural relaxation. The functional is PBE-GGA.

V, A^3/atom: 35.656
DFT total energy, eV for the cell shown: -52.3
Total moment, μB per formula unit: 0.00
Crystal system: monoclinic
E above lowest polymorph, meV per atom: 0
E_form, kJ/mol of formula units: 13

abc: 5.2065 6.4145 13.3105
angles: 103.79 90.00 113.94
Closest atoms and distances in Å follow each position.
Element x y z (fractional)
1 Nd 0.4546 0.9092 0.1817  4 Pr 3.68-3.69, 8 Nd 3.70
2 Nd 0.2728 0.5456 0.9091  8 Nd 3.69-3.70, 4 Pr 3.70
3 Nd 0.1820 0.3639 0.2727  8 Nd 3.69-3.70, 4 Pr 3.69-3.70
4 Nd 0.8180 0.6361 0.7273  8 Nd 3.69-3.70, 4 Pr 3.69-3.70
5 Nd 0.7272 0.4544 0.0909  8 Nd 3.69-3.70, 4 Pr 3.70
6 Nd 0.5454 0.0908 0.8183  4 Pr 3.68-3.69, 8 Nd 3.70
7 Nd 0.6366 0.2732 0.4545  7 Nd 3.69-3.71, 5 Pr 3.69-3.70
8 Nd 0.3634 0.7268 0.5455  7 Nd 3.69-3.71, 5 Pr 3.69-3.70
9 Pr 0.0000 0.0000 0.0000  12 Nd 3.68-3.70
10 Pr 0.0908 0.1817 0.6367  11 Nd 3.69-3.70, 1 Pr 3.71
11 Pr 0.9092 0.8183 0.3633  11 Nd 3.69-3.70, 1 Pr 3.71

Record 4
This record from Alexandria describes LiMnRe after structural relaxation. The functional is PBE-GGA.

V, A^3/atom: 12.751
DFT total energy, eV for the cell shown: -22.6
Total moment, μB per formula unit: 0.00
Crystal system: tetragonal
E above lowest polymorph, meV per atom: 98
E_form, kJ/mol of formula units: 92

abc: 4.8269 4.8269 4.8269
angles: 144.21 144.21 51.51
Closest atoms and distances in Å follow each position.
Element x y z (fractional)
1 Mn 0.3222 0.3222 0.0000  4 Re 2.42, 4 Li 2.58
2 Li 0.9951 0.9951 0.0000  5 Mn 2.58-2.84, 5 Re 2.66-2.72
3 Re 0.6827 0.6827 0.0000  4 Mn 2.42, 4 Li 2.66